Below is a geometry-optimized Tl3BI structure, with properties calculated at the PBE-GGA level.

Output
Magnetic moment   0.0 μB per formula unit
ΔE_f (raw)   367 meV per atom
Excess energy over the best structure of this formula in the dataset   0 meV/atom

Cell: 5.2480 5.2480 5.2480 Å, 90.00 90.00 90.00°
Positions (direct):
1 I 0.5000 0.5000 0.5000
2 Tl 0.0000 0.5000 0.0000
3 Tl 0.0000 0.0000 0.5000
4 Tl 0.5000 0.0000 0.0000
5 B 0.0000 0.0000 0.0000